[1]
First-principles (PBE) data for crystalline YV2Pb at its relaxed geometry, as listed in the Alexandria database.

It has space group I-42d (No. 122), with a = 7.9483 Å, b = 7.9483 Å, c = 6.1214 Å, α = 90.00°, β = 90.00° and γ = 90.00°. The asymmetric unit holds Y at (0.0000, 0.0000, 0.0000), V at (0.2237, 0.2500, 0.6250) and Pb at (0.0000, 0.0000, 0.5000).

The magnetic moment comes out at 5.9 μB/f.u. As for the energy relative to the elements: 0.85 eV/atom.

[2]
First-principles (PBE) data for crystalline Ce2Th2Ge4Ir at its relaxed geometry, as listed in the Alexandria database.

It has space group I4/mmm (No. 139), with a = 7.2894 Å, b = 7.2894 Å, c = 8.0952 Å, α = 90.00°, β = 90.00° and γ = 90.00°. The asymmetric unit holds Ce at (0.0000, 0.0000, 0.1737), Th at (0.0000, 0.5000, 0.2500), Ge at (0.2430, 0.2430, 0.5000) and Ir at (0.0000, 0.0000, 0.5000).

The magnetic moment comes out at 2.6 μB/f.u. As for the energy relative to the elements: -0.45 eV/atom.

[3]
First-principles (PBE) data for crystalline NaZrPS2 at its relaxed geometry, as listed in the Alexandria database.

It has space group P4/mmm (No. 123), with a = 5.0393 Å, b = 5.0393 Å, c = 5.0840 Å, α = 90.00°, β = 90.00° and γ = 90.00°. The asymmetric unit holds Na at (0.0000, 0.0000, 0.0000), Zr at (0.5000, 0.5000, 0.5000), P at (0.5000, 0.5000, 0.0000) and S at (0.0000, 0.5000, 0.5000).

The magnetic moment comes out at 0.6 μB/f.u. As for the energy relative to the lowest polymorph listed for this composition: 0.000 eV per atom. The calculation puts the energy relative to the elements, uncorrected at -3.06 eV/f.u.